Here is a geometry-optimized Pm4PrDy5 structure from the Alexandria database. Energies are from PBE.

Cell lengths 6.2680, 7.9621, 7.9621 Å; angles 81.09, 66.82, 66.82 degrees
Sites, in units of the cell vectors:
Pm 0.4142 0.3862 0.6955
Pm 0.8004 0.6955 0.6138
Pm 0.1097 0.3045 0.3862
Pm 0.4959 0.6138 0.3045
Pr 0.2186 0.0000 0.0000
Dy 0.7934 0.3790 0.9303
Dy 0.1724 0.9303 0.6210
Dy 0.7237 0.0697 0.3790
Dy 0.1028 0.6210 0.0697
Dy 0.6790 0.0000 0.0000

Computed properties:
- E_form (eV/atom) = 0.280
- electronic total energy (eV for the cell shown) = -44.0
- crystal system = tetragonal
- relative energy among the computed polymorphs (kJ/mol of formula units) = 255
- V (Å³/atom) = 33.58
- symmetry = I4 (79)

=====

Here is a geometry-optimized NdDy2S structure from the Alexandria database. Energies are from PBE.

Cell lengths 3.7455, 3.7455, 9.6251 Å; angles 78.78, 78.78, 60.00 degrees
Each line ends with the local moment (μB).
Sites, in units of the cell vectors:
Nd 0.4999 0.4999 0.5004  0.16
Dy 0.0595 0.0595 0.8214  0.07
Dy 0.2738 0.2738 0.1785  0.06
S 0.6668 0.6668 0.9997  0.00

Computed properties:
- electronic total energy (eV for the cell shown) = -21.9
- crystal system = trigonal
- relative energy among the computed polymorphs (kJ/mol of formula units) = 0
- V (Å³/atom) = 28.49
- symmetry = R3m (160)

=====

Here is a geometry-optimized ZnFe2N structure from the Alexandria database. Energies are from PBE.

Cell lengths 3.8669, 3.8669, 3.8669 Å; angles 60.00, 60.00, 60.00 degrees
Sites, in units of the cell vectors:
Zn 0.5000 0.5000 0.5000
Fe 0.2500 0.2500 0.2500
Fe 0.7500 0.7500 0.7500
N 0.0000 0.0000 0.0000

Computed properties:
- electronic total energy (eV for the cell shown) = -21.9
- crystal system = cubic
- V (Å³/atom) = 10.22
- symmetry = Fm-3m (225)

=====

Here is a geometry-optimized CsFe3As structure from the Alexandria database. Energies are from PBE.

Cell lengths 4.8486, 4.8486, 4.8486 Å; angles 90.00, 90.00, 90.00 degrees
Each line ends with the local moment (μB).
Sites, in units of the cell vectors:
Cs 0.0000 0.0000 0.0000  -0.06
As 0.5000 0.5000 0.5000  0.17
Fe 0.0000 0.5000 0.0000  2.72
Fe 0.0000 0.0000 0.5000  2.49
Fe 0.5000 0.0000 0.0000  2.66

Computed properties:
- E_form (eV/atom) = 2.496
- electronic total energy (eV for the cell shown) = -18.4
- crystal system = cubic
- relative energy among the computed polymorphs (kJ/mol of formula units) = 762
- V (Å³/atom) = 22.80
- symmetry = Pm-3m (221)

=====

Here is a geometry-optimized As2AuSe2 structure from the Alexandria database. Energies are from PBE.

Cell lengths 5.3619, 5.3619, 5.5520 Å; angles 61.13, 61.13, 90.00 degrees
Sites, in units of the cell vectors:
As 0.3094 0.3094 0.3811
As 0.6906 0.6906 0.6189
Au 0.0000 0.0000 0.0000
Se 0.7500 0.2500 0.5000
Se 0.2500 0.7500 0.5000

Computed properties:
- electronic total energy (eV for the cell shown) = -18.7
- crystal system = tetragonal
- relative energy among the computed polymorphs (kJ/mol of formula units) = 12
- V (Å³/atom) = 23.32
- symmetry = I4/mmm (139)

=====

Here is a geometry-optimized TbPr2Tl structure from the Alexandria database. Energies are from PBE.

Cell lengths 3.7286, 3.7286, 11.3356 Å; angles 80.53, 80.53, 60.00 degrees
Sites, in units of the cell vectors:
Tb 0.5002 0.5002 0.4995
Pr 0.0794 0.0794 0.7617
Pr 0.2540 0.2540 0.2381
Tl 0.6664 0.6664 0.0007

Computed properties:
- E_form (eV/atom) = -0.091
- electronic total energy (eV for the cell shown) = -16.9
- crystal system = trigonal
- relative energy among the computed polymorphs (kJ/mol of formula units) = 41
- V (Å³/atom) = 33.50
- symmetry = R3m (160)